#A
This record from Alexandria via LeMat-Bulk describes an optimized crystal structure of SrTiF2. The functional is PBE.

The structure in CIF format:
```
data_SrTiF2
_chemical_formula_sum 'Sr4 Ti4 F8'
_symmetry_space_group_name_H-M 'I -4 2 d'
_symmetry_Int_Tables_number 122
_symmetry_space_group_name_Hall 'I -4 2bw'
_cell_length_a 4.936
_cell_length_b 4.936
_cell_length_c 12.868
_cell_angle_alpha 90.00
_cell_angle_beta 90.00
_cell_angle_gamma 90.00
loop_
_atom_site_label
_atom_site_type_symbol
_atom_site_fract_x
_atom_site_fract_y
_atom_site_fract_z
Sr1 Sr 0.000 0.000 0.000
Ti1 Ti 0.000 0.000 0.500
F1 F 0.107 0.250 0.625
```

***

#B
This record from Alexandria via LeMat-Bulk describes an optimized crystal structure of SrTiF2. The functional is PBE.

The structure in CIF format:
```
data_SrTiF2
_chemical_formula_sum 'Sr3 Ti3 F6'
_symmetry_space_group_name_H-M 'R -3 m'
_symmetry_Int_Tables_number 166
_symmetry_space_group_name_Hall '-R 3 2"'
_cell_length_a 3.8213
_cell_length_b 3.8213
_cell_length_c 18.4131
_cell_angle_alpha 90.00
_cell_angle_beta 90.00
_cell_angle_gamma 120.00
loop_
_atom_site_label
_atom_site_type_symbol
_atom_site_fract_x
_atom_site_fract_y
_atom_site_fract_z
Sr1 Sr 0.0000 0.0000 0.0000
Ti1 Ti 0.0000 0.0000 0.5000
F1 F 0.0000 0.0000 0.1322
```

***

Energy ordering: #B at the bottom, the next structure 0.075 eV/atom above.

***

#A
This record from Alexandria via LeMat-Bulk describes an optimized crystal structure of SrTi3F. The functional is PBE.

The structure in CIF format:
```
data_SrTi3F
_chemical_formula_sum 'Sr1 Ti3 F1'
_symmetry_space_group_name_H-M 'P m -3 m'
_symmetry_Int_Tables_number 221
_symmetry_space_group_name_Hall '-P 4 2 3'
_cell_length_a 4.948
_cell_length_b 4.948
_cell_length_c 4.948
_cell_angle_alpha 90.00
_cell_angle_beta 90.00
_cell_angle_gamma 90.00
loop_
_atom_site_label
_atom_site_type_symbol
_atom_site_fract_x
_atom_site_fract_y
_atom_site_fract_z
Sr1 Sr 0.000 0.000 0.000
Ti1 Ti 0.000 0.000 0.500
F1 F 0.500 0.500 0.500
```

***

#B
This record from Alexandria via LeMat-Bulk describes an optimized crystal structure of SrTi3F. The functional is PBE.

The structure in CIF format:
```
data_SrTi3F
_chemical_formula_sum 'Sr1 Ti3 F1'
_symmetry_space_group_name_H-M 'P m -3 m'
_symmetry_Int_Tables_number 221
_symmetry_space_group_name_Hall '-P 4 2 3'
_cell_length_a 4.566
_cell_length_b 4.566
_cell_length_c 4.566
_cell_angle_alpha 90.00
_cell_angle_beta 90.00
_cell_angle_gamma 90.00
loop_
_atom_site_label
_atom_site_type_symbol
_atom_site_fract_x
_atom_site_fract_y
_atom_site_fract_z
Sr1 Sr 0.000 0.000 0.000
Ti1 Ti 0.000 0.500 0.500
F1 F 0.500 0.500 0.500
```

***

Energy ordering: #B at the bottom, the next structure 1.939 eV/atom above.

***

#A
This record from Alexandria via LeMat-Bulk describes an optimized crystal structure of SrTiF3. The functional is PBE.

The structure in CIF format:
```
data_SrTiF3
_chemical_formula_sum 'Sr1 Ti1 F3'
_symmetry_space_group_name_H-M 'P m -3 m'
_symmetry_Int_Tables_number 221
_symmetry_space_group_name_Hall '-P 4 2 3'
_cell_length_a 4.333
_cell_length_b 4.333
_cell_length_c 4.333
_cell_angle_alpha 90.00
_cell_angle_beta 90.00
_cell_angle_gamma 90.00
loop_
_atom_site_label
_atom_site_type_symbol
_atom_site_fract_x
_atom_site_fract_y
_atom_site_fract_z
Sr1 Sr 0.000 0.000 0.000
Ti1 Ti 0.500 0.500 0.500
F1 F 0.000 0.500 0.500
```

***

#B
This record from Alexandria via LeMat-Bulk describes an optimized crystal structure of SrTiF3. The functional is PBE.

The structure in CIF format:
```
data_SrTiF3
_chemical_formula_sum 'Sr1 Ti1 F3'
_symmetry_space_group_name_H-M 'P m -3 m'
_symmetry_Int_Tables_number 221
_symmetry_space_group_name_Hall '-P 4 2 3'
_cell_length_a 4.709
_cell_length_b 4.709
_cell_length_c 4.709
_cell_angle_alpha 90.00
_cell_angle_beta 90.00
_cell_angle_gamma 90.00
loop_
_atom_site_label
_atom_site_type_symbol
_atom_site_fract_x
_atom_site_fract_y
_atom_site_fract_z
Sr1 Sr 0.000 0.000 0.000
Ti1 Ti 0.500 0.500 0.500
F1 F 0.000 0.000 0.500
```

***

Energy ordering: #A at the bottom, the next structure 0.364 eV/atom above.